(1)
An optimized crystal structure of KTaTe3Au, computed with PBE.

Unit cell a=8.385 b=8.385 c=10.893 alpha=90.00 beta=90.00 gamma=152.26
Fractional positions:
K 0.235 0.765 0.750
K 0.765 0.235 0.250
Ta 0.000 0.000 0.000
Ta 0.000 0.000 0.500
Te 0.073 0.927 0.250
Te 0.376 0.624 0.032
Te 0.376 0.624 0.468
Te 0.624 0.376 0.532
Te 0.624 0.376 0.968
Te 0.927 0.073 0.750
Au 0.454 0.546 0.250
Au 0.546 0.454 0.750

***

(2)
An optimized crystal structure of Li8Hg2Pb, computed with PBE.

Unit cell a=4.559 b=4.559 c=10.778 alpha=102.11 beta=102.11 gamma=60.04
Fractional positions:
Li 0.091 0.091 0.272
Li 0.183 0.183 0.548
Li 0.276 0.276 0.828
Li 0.365 0.365 0.094
Li 0.635 0.635 0.906
Li 0.724 0.724 0.172
Li 0.817 0.817 0.452
Li 0.909 0.909 0.728
Hg 0.452 0.452 0.356
Hg 0.548 0.548 0.644
Pb 0.000 0.000 0.000

***

Number 1: raw total energy -55.23 eV per cell, V 29.7 Å³/atom. Number 2: raw total energy -22.87 eV per cell, V 17.1 Å³/atom.